1 | First-principles (PBE with a Hubbard U) data for a relaxed WO crystal, as listed in Alexandria.

Magnetic moment = 0.3 Bohr magnetons per cell
D(E_F) = 0.071 states/eV/f.u.

Structure (CIF):
```
data_WO
_symmetry_space_group_name_H-M 'P 4/m'
_symmetry_Int_Tables_number 83
_cell_length_a 9.064
_cell_length_b 9.064
_cell_length_c 3.071
_cell_angle_alpha 90.00
_cell_angle_beta 90.00
_cell_angle_gamma 90.00
loop_
_symmetry_equiv_pos_as_xyz
'x,y,z'
'-x,-y,-z'
'-y,x,z'
'y,-x,-z'
'-x,-y,z'
'x,y,-z'
'y,-x,z'
'-y,x,-z'
loop_
_atom_site_label
_atom_site_fract_x
_atom_site_fract_y
_atom_site_fract_z
W1 0.120 0.228 0.000
W2 0.121 0.643 0.500
O1 0.108 0.398 0.500
O2 0.274 0.647 0.000
```

---

2 | First-principles (PBE with a Hubbard U) data for a relaxed WO crystal, as listed in Alexandria.

Magnetic moment = 0.0 Bohr magnetons per cell
D(E_F) = 0.442 states/eV/f.u.

Structure (CIF):
```
data_WO
_symmetry_space_group_name_H-M 'P 63 m c'
_symmetry_Int_Tables_number 186
_symmetry_space_group_name_Hall 'P 6c -2c'
_cell_length_a 2.8438
_cell_length_b 2.8438
_cell_length_c 7.0364
_cell_angle_alpha 90.00
_cell_angle_beta 90.00
_cell_angle_gamma 120.00
loop_
_atom_site_label
_atom_site_fract_x
_atom_site_fract_y
_atom_site_fract_z
W1 0.3333 0.6667 0.0000
O1 0.3333 0.6667 0.7019
```

---

Stability summary: most stable 1, least stable 2.